This record from the Alexandria database describes LaAsS after structural relaxation. The functional is GGA-PBEsol.

Structure (CIF):
```
data_LaAsS
_chemical_formula_sum 'La4 As4 S4'
_cell_length_a 7.281
_cell_length_b 3.894
_cell_length_c 9.767
_cell_angle_alpha 90.00
_cell_angle_beta 90.00
_cell_angle_gamma 90.00
_space_group_name_H-M_alt 'P n m a'
_space_group_IT_number 62
loop_
_space_group_symop_operation_xyz
'x,y,z'
'-x,-y,-z'
'-x+1/2,-y,z+1/2'
'x+1/2,y,-z+1/2'
'x+1/2,-y+1/2,-z+1/2'
'-x+1/2,y+1/2,z+1/2'
'-x,y+1/2,-z'
'x,-y+1/2,z'
loop_
_atom_site_label
_atom_site_type_symbol
_atom_site_fract_x
_atom_site_fract_y
_atom_site_fract_z
_atom_site_occupancy
La1 La 0.195 0.250 0.155 1
As1 As 0.095 0.250 0.458 1
S1 S 0.101 0.250 0.838 1
```

## Properties
- Fermi-level density of states: 0.11 states/eV/f.u.
- Formation energy (no corrections): -154.9 kJ/mol of atoms


This record from the Alexandria database describes LaAs2SeS after structural relaxation. The functional is GGA-PBEsol.

Structure (CIF):
```
data_LaAs2SeS
_chemical_formula_sum 'La1 As2 Se1 S1'
_cell_length_a 5.690
_cell_length_b 5.690
_cell_length_c 5.531
_cell_angle_alpha 90.00
_cell_angle_beta 90.00
_cell_angle_gamma 90.00
_space_group_name_H-M_alt 'P 4/m m m'
_space_group_IT_number 123
_space_group_name_Hall '-P 4 2'
loop_
_atom_site_label
_atom_site_type_symbol
_atom_site_fract_x
_atom_site_fract_y
_atom_site_fract_z
_atom_site_occupancy
La1 La 0.000 0.000 0.000 1
As1 As 0.000 0.500 0.000 1
Se1 Se 0.000 0.000 0.500 1
S1 S 0.500 0.500 0.500 1
```

## Properties
- Fermi-level density of states: 7.10 states/eV/f.u.
- Formation energy (no corrections): 85.7 kJ/mol of atoms


This record from the Alexandria database describes LaTeAsS2 after structural relaxation. The functional is GGA-PBEsol.

Structure (CIF):
```
data_LaTeAsS2
_chemical_formula_sum 'La1 Te1 As1 S2'
_cell_length_a 4.963
_cell_length_b 4.963
_cell_length_c 5.235
_cell_angle_alpha 90.00
_cell_angle_beta 90.00
_cell_angle_gamma 90.00
_space_group_name_H-M_alt 'P 4/m m m'
_space_group_IT_number 123
_space_group_name_Hall '-P 4 2'
loop_
_atom_site_label
_atom_site_type_symbol
_atom_site_fract_x
_atom_site_fract_y
_atom_site_fract_z
_atom_site_occupancy
La1 La 0.000 0.000 0.000 1
Te1 Te 0.500 0.500 0.500 1
As1 As 0.500 0.500 0.000 1
S1 S 0.000 0.500 0.500 1
```

## Properties
- Fermi-level density of states: 1.65 states/eV/f.u.
- Formation energy (no corrections): -36.1 kJ/mol of atoms


This record from the Alexandria database describes LaSbAs after structural relaxation. The functional is GGA-PBEsol.

Structure (CIF):
```
data_LaSbAs
_chemical_formula_sum 'La4 Sb4 As4'
_cell_length_a 7.009
_cell_length_b 7.009
_cell_length_c 7.009
_cell_angle_alpha 90.00
_cell_angle_beta 90.00
_cell_angle_gamma 90.00
_space_group_name_H-M_alt 'F -4 3 m'
_space_group_IT_number 216
_space_group_name_Hall 'F -4 2 3'
loop_
_atom_site_label
_atom_site_type_symbol
_atom_site_fract_x
_atom_site_fract_y
_atom_site_fract_z
_atom_site_occupancy
La1 La 0.000 0.000 0.000 1
Sb1 Sb 0.000 0.000 0.500 1
As1 As 0.250 0.250 0.750 1
```

## Properties
- Fermi-level density of states: 3.01 states/eV/f.u.
- Formation energy (no corrections): -57.1 kJ/mol of atoms


This record from the Alexandria database describes LaSb2As after structural relaxation. The functional is GGA-PBEsol.

Structure (CIF):
```
data_LaSb2As
_chemical_formula_sum 'La4 Sb8 As4'
_cell_length_a 7.477
_cell_length_b 7.477
_cell_length_c 7.477
_cell_angle_alpha 90.00
_cell_angle_beta 90.00
_cell_angle_gamma 90.00
_space_group_name_H-M_alt 'F -4 3 m'
_space_group_IT_number 216
_space_group_name_Hall 'F -4 2 3'
loop_
_atom_site_label
_atom_site_type_symbol
_atom_site_fract_x
_atom_site_fract_y
_atom_site_fract_z
_atom_site_occupancy
La1 La 0.000 0.000 0.000 1
Sb1 Sb 0.000 0.000 0.500 1
Sb2 Sb 0.250 0.250 0.250 1
As1 As 0.250 0.250 0.750 1
```

## Properties
- Fermi-level density of states: 2.18 states/eV/f.u.
- Formation energy (no corrections): -37.6 kJ/mol of atoms


This record from the Alexandria database describes La2SbAs after structural relaxation. The functional is GGA-PBEsol.

Structure (CIF):
```
data_La2SbAs
_chemical_formula_sum 'La6 Sb3 As3'
_cell_length_a 4.4259
_cell_length_b 4.4259
_cell_length_c 21.8552
_cell_angle_alpha 90.00
_cell_angle_beta 90.00
_cell_angle_gamma 120.00
_space_group_name_H-M_alt 'R -3 m'
_space_group_IT_number 166
_space_group_name_Hall '-R 3 2"'
loop_
_atom_site_label
_atom_site_type_symbol
_atom_site_fract_x
_atom_site_fract_y
_atom_site_fract_z
_atom_site_occupancy
La1 La 0.0000 0.0000 0.2449 1
Sb1 Sb 0.0000 0.0000 0.0000 1
As1 As 0.0000 0.0000 0.5000 1
```

## Properties
- Fermi-level density of states: 0.54 states/eV/f.u.
- Formation energy (no corrections): -133.6 kJ/mol of atoms